No. 1
First-principles (PBE) data for a relaxed structure of ScSiF2, as listed in Alexandria via LeMat-Bulk.

Geometry as POSCAR:
```
ScSiF2
1.0
1.716 0.000 9.553
-0.858 1.486 9.553
-0.858 -1.486 9.553
Sc F Si
1 2 1
Direct
0.500 0.500 0.500 Sc
0.122 0.122 0.122 F
0.878 0.878 0.878 F
0.000 0.000 0.000 Si
```

## Properties
As for the space-group type: R-3m (166). Its total energy is -5.81 eV/atom. The formation energy from raw total energies is -1.93 eV/atom.

No. 2
First-principles (PBE) data for a relaxed structure of Sm2Y3Ho3, as listed in Alexandria via LeMat-Bulk.

Geometry as POSCAR:
```
Sm2Y3Ho3
1.0
-2.264 2.775 -0.152
-3.613 -3.162 -3.933
-8.852 -4.522 6.874
Ho Sm Y
3 2 3
Direct
0.500 0.500 0.000 Ho
0.376 0.043 0.248 Ho
0.624 0.957 0.752 Ho
0.751 0.752 0.499 Sm
0.249 0.248 0.501 Sm
0.124 0.459 0.751 Y
0.876 0.541 0.249 Y
0.000 0.000 0.000 Y
```

## Properties
As for the space-group type: C2/m (12). Its total energy is -5.32 eV/atom. The value obtained for the formation energy is 3.6 meV per atom.

No. 3
First-principles (PBE) data for a relaxed structure of CeScTlGa, as listed in Alexandria via LeMat-Bulk.

Geometry as POSCAR:
```
CeScTlGa
1.0
5.161 0.000 0.000
2.581 4.470 0.000
2.581 1.490 4.214
Ga Ce Sc Tl
1 1 1 1
Direct
0.750 0.750 0.750 Ga
0.000 0.000 0.000 Ce
0.500 0.500 0.500 Sc
0.250 0.250 0.250 Tl
```

## Properties
As for the space-group type: F-43m (216). Its total energy is -4.76 eV/atom. The value obtained for the formation energy is -340.8 meV per atom.

no.,ΔE to the lowest computed polymorph (kcal/mol of atoms),calculated volume (Å³ per atom)
1,0.000,18.3
2,0.000,32.1
3,1.276,24.3